# ZrMoP2Os (PBE-GGA, optimized geometry)
# Magnetization in μB per formula unit: 0.4
# Total DFT energy (no corrections) in eV per atom: -7.4286
# Volume in Å³/atom: 20.0
# D(E_F) in states/eV/atom: 1.370
data_ZrMoP2Os
_cell_length_a 4.523
_cell_length_b 4.523
_cell_length_c 4.882
_cell_angle_alpha 90.00
_cell_angle_beta 90.00
_cell_angle_gamma 90.00
_space_group_name_H-M_alt 'P 4/m m m'
_space_group_IT_number 123
_space_group_name_Hall '-P 4 2'
loop_
_atom_site_label
_atom_site_fract_x
_atom_site_fract_y
_atom_site_fract_z
Zr1 0.000 0.000 0.000
Mo1 0.500 0.500 0.000
P1 0.000 0.500 0.500
Os1 0.500 0.500 0.500